Record 1
First-principles (GGA-PBE) data for a relaxed structure of GePd2S, as listed in Alexandria.

CIF file:
```
data_GePd2S
_chemical_formula_sum 'Ge2 Pd4 S2'
_space_group_name_H-M_alt 'C 1 m 1'
_space_group_IT_number 8
_cell_length_a 6.832
_cell_length_b 3.938
_cell_length_c 6.187
_cell_angle_alpha 90.00
_cell_angle_beta 90.17
_cell_angle_gamma 90.00
loop_
_space_group_symop_operation_xyz
'x,y,z'
'x,-y,z'
'x+1/2,y+1/2,z'
'x+1/2,-y+1/2,z'
loop_
_atom_site_label
_atom_site_fract_x
_atom_site_fract_y
_atom_site_fract_z
Ge1 0.000 0.000 0.000
Pd1 0.000 0.000 0.401
Pd2 0.166 0.500 0.829
S1 0.167 0.500 0.443
```

Results
As for the formation energy from raw total energies: -0.132 eV per atom. Its total DFT energy (no corrections) is -39.3 eV/cell.



Record 2
First-principles (GGA-PBE) data for a relaxed structure of GePdS3, as listed in Alexandria.

CIF file:
```
data_GePdS3
_chemical_formula_sum 'Ge1 Pd1 S3'
_space_group_name_H-M_alt 'P m -3 m'
_space_group_IT_number 221
_space_group_name_Hall '-P 4 2 3'
_cell_length_a 4.702
_cell_length_b 4.702
_cell_length_c 4.702
_cell_angle_alpha 90.00
_cell_angle_beta 90.00
_cell_angle_gamma 90.00
loop_
_atom_site_label
_atom_site_fract_x
_atom_site_fract_y
_atom_site_fract_z
Ge1 0.000 0.000 0.000
Pd1 0.500 0.500 0.500
S1 0.000 0.500 0.500
```

Results
As for the formation energy from raw total energies: 0.478 eV per atom. Its total DFT energy (no corrections) is -19.8 eV/cell.